1.
Entry from the Alexandria database: a relaxed structure of BeAlZn2Co (GGA-PBE).

```
5
Lattice="-2.628 0.806 -3.577 1.028 -3.567 -1.559 -3.481 -1.931 2.122" Properties=species:S:1:pos:R:3 pbc="T T T"
Zn -1.740 -0.965 1.061
Zn -1.314 0.403 -1.788
Co 0.000 0.000 0.000
Al -2.540 -2.346 -1.507
Be 0.514 -1.783 -0.779
```

DOS(E_F) in states/eV per cell: 1.97
Energy in eV per atom: -2.922
Total moment in μB per cell: 0.00
Energy of formation from the pure elements in eV per atom: 0.50
SG: P4/mmm (123)

---

2.
Entry from the Alexandria database: a relaxed structure of CsZnGePSe (GGA-PBE).

```
5
Lattice="-3.664 -1.505 0.990 0.087 -5.175 0.820 1.581 1.120 7.646" Properties=species:S:1:pos:R:3 pbc="T T T"
Se -1.500 -1.197 0.535
Ge -3.230 -6.232 3.254
Zn -0.431 -2.382 2.669
Cs 0.749 -3.026 6.078
P -2.321 -2.364 4.118
```

DOS(E_F) in states/eV per cell: 0.08
Energy in eV per atom: -3.550
Total moment in μB per cell: 0.00
Formation energy from raw total energies in eV per atom: -0.422
Energy relative to the lowest polymorph listed for this composition in meV/atom: 49
SG: P1 (1)

---

3.
Entry from the Alexandria database: a relaxed structure of AcLa6Mg2 (GGA-PBE).

```
9
Lattice="6.306 0.000 0.000 -3.153 5.486 0.000 0.000 0.000 9.082" Properties=species:S:1:pos:R:3 pbc="T T T"
La 1.544 4.532 5.957
La 0.000 1.915 0.000
La 3.153 3.571 0.000
La 1.609 0.954 5.957
La -1.544 4.532 3.125
La 4.697 0.954 3.125
Mg -1.576 2.743 6.109
Mg 1.576 2.743 2.973
Ac 3.153 0.000 0.000
```

DOS(E_F) in states/eV per cell: 13.96
Energy in eV per atom: -4.052
Total moment in μB per cell: 0.00
Energy of formation from the pure elements in eV per atom: 0.04
Energy relative to the lowest polymorph listed for this composition in meV/atom: 0
SG: C222 (21)